1.
Computed, not measured: ErZr2PaN4 after structural relaxation at the GGA-PBE level of DFT.

abc: 3.3561 5.8297 5.8197
angles: 70.68 90.00 90.00
Fractional positions:
1 Er 0.5000 0.5000 0.0000
2 Zr 0.0000 0.0000 0.0000
3 Zr 0.5000 0.0000 0.5000
4 Pa 0.0000 0.5000 0.5000
5 N 0.0000 0.7582 0.7430
6 N 0.0000 0.2418 0.2570
7 N 0.5000 0.7595 0.2466
8 N 0.5000 0.2405 0.7534

- E_form (uncorrected): -1.715 eV/atom

---

2.
Computed, not measured: SrLaNbSn2 after structural relaxation at the GGA-PBE level of DFT.

abc: 5.8161 5.9025 5.8161
angles: 90.00 90.00 90.00
Last column: magnetic moment on the atom in μB.
Fractional positions:
1 Sr 0.0000 0.5000 0.0000  0.02
2 Nb 0.5000 0.5000 0.5000  -0.16
3 Sn 0.0000 0.0000 0.5000  0.01
4 Sn 0.5000 0.0000 0.0000  0.01
5 La 0.0000 0.0000 0.0000  0.05

- ΔE_f: 1.533 eV per atom

---

| no. | D(E_F) (states/eV/cell) |
| --- | --- |
| 1 | 2.90 |
| 2 | 8.71 |